This record from Alexandria describes a geometry-optimized PmPrSm2Th structure. The functional is PBE.

POSCAR file:
```
PmPrSm2Th
1.0
8.453 0.000 0.000
0.000 6.165 1.960
0.000 -0.364 6.673
Pm Pr Sm Th
2 2 4 2
Direct
0.660 0.000 0.250
0.340 0.000 0.750
0.087 0.500 0.750
0.913 0.500 0.250
0.671 0.715 0.842
0.671 0.285 0.658
0.329 0.715 0.342
0.329 0.285 0.158
0.000 0.000 0.000
0.000 0.000 0.500
```

## Properties
Symmetry   P2/c (13)
Size of the total moment   0.00 Bohr magnetons per cell
Final energy   -5.026 eV per atom
Volume   35.377 A^3/atom
Formation energy   122 kJ/mol of formula units
Crystal system   monoclinic

***

This record from Alexandria describes a geometry-optimized CoNiPt structure. The functional is PBE.

POSCAR file:
```
CoNiPt
1.0
4.295 0.000 1.408
0.000 2.677 0.000
0.754 0.000 6.933
Co Ni Pt
2 2 2
Direct
0.194 0.250 0.832
0.806 0.750 0.168
0.738 0.250 0.492
0.262 0.750 0.508
0.295 0.250 0.180
0.705 0.750 0.820
```

## Properties
Symmetry   P2_1/m (11)
Size of the total moment   5.84 Bohr magnetons per cell
Energy above the most stable polymorph in this dataset   58 meV per atom
Final energy   -6.337 eV per atom
Volume   12.809 A^3/atom
Formation energy   -8 kJ/mol of formula units
Crystal system   monoclinic

***

This record from Alexandria describes a geometry-optimized CeGdDySn structure. The functional is PBE.

POSCAR file:
```
CeGdDySn
1.0
5.393 0.000 0.000
2.697 4.671 0.000
2.697 1.557 4.404
Gd Sn Ce Dy
1 1 1 1
Direct
0.000 0.000 0.000
0.250 0.250 0.250
0.750 0.750 0.750
0.500 0.500 0.500
```

## Properties
Symmetry   F-43m (216)
Size of the total moment   8.77 Bohr magnetons per cell
Final energy   -7.357 eV per atom
Volume   27.732 A^3/atom
Formation energy   -78 kJ/mol of formula units
Crystal system   cubic

***

This record from Alexandria describes a geometry-optimized Nd2PaGeN5 structure. The functional is PBE.

POSCAR file:
```
Nd2PaGeN5
1.0
3.447 0.000 0.000
-1.724 7.594 0.000
0.000 0.000 10.142
Nd Pa Ge N
4 2 2 10
Direct
0.883 0.766 0.814
0.106 0.212 0.679
0.117 0.234 0.314
0.894 0.788 0.179
0.790 0.579 0.517
0.210 0.421 0.017
0.547 0.094 0.947
0.453 0.906 0.447
0.355 0.711 0.005
0.671 0.342 0.876
0.496 0.992 0.783
0.291 0.582 0.660
0.954 0.908 0.542
0.645 0.289 0.505
0.329 0.658 0.376
0.504 0.008 0.283
0.709 0.418 0.160
0.046 0.092 0.042
```

## Properties
Symmetry   Cmc2_1 (36)
Size of the total moment   0.00 Bohr magnetons per cell
Final energy   -8.315 eV per atom
Volume   14.752 A^3/atom
Crystal system   orthorhombic
Raw formation energy   -9.6 eV per formula unit

***

This record from Alexandria describes a geometry-optimized HoTmNi4 structure. The functional is PBE.

POSCAR file:
```
HoTmNi4
1.0
-4.019 0.972 -2.877
-2.673 -3.794 -1.958
-4.630 -0.975 1.729
Ni Tm Ho
4 1 1
Direct
0.625 0.625 0.124
0.625 0.124 0.625
0.625 0.625 0.625
0.124 0.625 0.625
0.000 0.000 0.000
0.250 0.250 0.250
```

## Properties
Symmetry   F-43m (216)
Size of the total moment   0.00 Bohr magnetons per cell
Final energy   -5.842 eV per atom
Volume   15.061 A^3/atom
Formation energy   -278 kJ/mol of formula units
Crystal system   cubic

***

This record from Alexandria describes a geometry-optimized CeTlGe structure. The functional is PBE.

POSCAR file:
```
CeTlGe
1.0
4.664 0.000 0.000
0.000 4.496 0.000
0.000 -2.248 3.894
Tl Ge Ce
1 1 1
Direct
0.277 0.667 0.333
0.025 0.000 0.000
0.697 0.333 0.667
```

## Properties
Symmetry   P3m1 (156)
Size of the total moment   1.02 Bohr magnetons per cell
Energy above the most stable polymorph in this dataset   81 meV per atom
Final energy   -4.633 eV per atom
Volume   27.217 A^3/atom
Formation energy   -95 kJ/mol of formula units
Crystal system   trigonal

***

This record from Alexandria describes a geometry-optimized In2Pd2Pt5 structure. The functional is PBE.

POSCAR file:
```
In2Pd2Pt5
1.0
4.762 0.000 -0.005
0.000 9.546 0.000
-2.388 -4.773 6.872
In Pd Pt
4 4 10
Direct
0.000 0.065 0.000
0.500 0.565 0.000
0.334 0.315 0.500
0.666 0.815 0.500
0.059 0.707 0.285
0.941 0.423 0.715
0.723 0.207 0.283
0.277 0.924 0.717
0.200 0.765 0.900
0.800 0.865 0.100
0.200 0.265 0.900
0.800 0.365 0.100
0.399 0.964 0.297
0.601 0.666 0.703
0.399 0.464 0.297
0.601 0.166 0.703
0.000 0.565 0.500
0.000 0.065 0.500
```

## Properties
Symmetry   C2/m (12)
Size of the total moment   0.00 Bohr magnetons per cell
Final energy   -5.403 eV per atom
Volume   17.351 A^3/atom
Formation energy   -247 kJ/mol of formula units
Crystal system   monoclinic

***

This record from Alexandria describes a geometry-optimized Ba2CdOs structure. The functional is PBE.

POSCAR file:
```
Ba2CdOs
1.0
3.801 0.000 0.000
0.000 3.754 -0.003
0.000 3.747 8.936
Os Ba Cd
1 2 1
Direct
0.500 0.750 0.750
0.000 0.043 0.956
0.000 0.457 0.544
0.500 0.250 0.250
```

## Properties
Symmetry   P2/m (10)
Size of the total moment   0.00 Bohr magnetons per cell
Final energy   -3.552 eV per atom
Volume   31.887 A^3/atom
Formation energy   172 kJ/mol of formula units
Crystal system   monoclinic